SnIrS2 | GGA-PBEsol | optimized geometry

Summary:
Uncorrected energy: -6.0406 eV/atom
Theoretical density: 7.32 g cm⁻³
Uncorrected formation energy: -0.3279 eV/atom
Fermi-level density of states: 0.45 states/eV per atom
Symmetry: R-3m

abc: 8.170 8.170 8.170
angles: 24.91 24.91 24.91
Fractional positions:
Sn  0.000  0.000  0.000
Ir  0.500  0.500  0.500
S  0.117  0.117  0.117
S  0.883  0.883  0.883


Sm3Co2Ge4 | GGA-PBEsol | optimized geometry

Summary:
Uncorrected energy: -6.3697 eV/atom
Theoretical density: 8.40 g cm⁻³
DFT formation energy: -0.758 eV/atom
Fermi-level density of states: 0.61 states/eV per atom
Symmetry: C2/m

abc: 5.775 5.775 8.023
angles: 106.52 106.52 41.83
Fractional positions:
Sm  0.000  0.000  0.000
Sm  0.381  0.381  0.309
Sm  0.619  0.619  0.691
Co  0.304  0.304  0.628
Co  0.696  0.696  0.372
Ge  0.104  0.104  0.398
Ge  0.288  0.288  0.918
Ge  0.712  0.712  0.082
Ge  0.896  0.896  0.602


ZnSiSe2 | GGA-PBEsol | optimized geometry

Summary:
Uncorrected energy: -3.8797 eV/atom
Theoretical density: 5.17 g cm⁻³
Uncorrected formation energy: -0.1224 eV/atom
Fermi-level density of states: 0.38 states/eV per atom
Symmetry: R3m

abc: 7.525 7.525 7.525
angles: 27.61 27.61 27.61
Fractional positions:
Zn  0.000  0.000  0.000
Si  0.754  0.754  0.754
Se  0.278  0.278  0.278
Se  0.484  0.484  0.484


ReNiP3 | GGA-PBEsol | optimized geometry

Summary:
Uncorrected energy: -6.3587 eV/atom
Theoretical density: 5.96 g cm⁻³
DFT formation energy: 1.014 eV/atom
Fermi-level density of states: 0.87 states/eV per atom
Symmetry: Pm-3m

abc: 4.550 4.550 4.550
angles: 90.00 90.00 90.00
Fractional positions:
Re  0.000  0.000  0.000
Ni  0.500  0.500  0.500
P  0.000  0.000  0.500
P  0.000  0.500  0.000
P  0.500  0.000  0.000


MgSi2Ru2 | GGA-PBEsol | optimized geometry

Summary:
Uncorrected energy: -7.2757 eV/atom
Theoretical density: 6.86 g cm⁻³
Uncorrected formation energy: -0.5646 eV/atom
Fermi-level density of states: 0.34 states/eV per atom
Symmetry: P4/mbm

abc: 6.957 6.957 2.828
angles: 90.00 90.00 90.00
Fractional positions:
Mg  0.000  0.000  0.000
Mg  0.500  0.500  0.000
Si  0.138  0.362  0.000
Si  0.362  0.862  0.000
Si  0.638  0.138  0.000
Si  0.862  0.638  0.000
Ru  0.155  0.655  0.500
Ru  0.345  0.155  0.500
Ru  0.655  0.845  0.500
Ru  0.845  0.345  0.500


KBa2Y | GGA-PBEsol | optimized geometry

Summary:
Uncorrected energy: -2.7040 eV/atom
Theoretical density: 3.45 g cm⁻³
Energy above the lowest structure with this stoichiometry: 2 meV per atom
DFT formation energy: 0.359 eV/atom
Fermi-level density of states: 1.45 states/eV per atom
Symmetry: Immm

abc: 7.633 7.633 7.633
angles: 146.46 127.00 64.19
Fractional positions:
K  0.000  0.000  0.000
Ba  0.258  0.758  0.500
Ba  0.742  0.242  0.500
Y  0.500  0.500  0.000